Here is a relaxed structure of AcNdCo from the Alexandria database. Energies are from GGA-PBE.

Summary:
The calculation puts the total energy at -5.324 eV/atom. As for the space-group type: P2_1/m. For the formation energy, the calculation gives 3 meV per atom.

a = 6.619 Å, b = 3.930 Å, c = 7.094 Å
α = 90.00°, β = 97.10°, γ = 90.00°
Element x y z (fractional)
Ac 0.130 0.250 0.294
Ac 0.870 0.750 0.706
Nd 0.375 0.250 0.797
Nd 0.625 0.750 0.203
Co 0.399 0.750 0.526
Co 0.601 0.250 0.474